Arrangement a

A plane-wave DFT calculation with PBE-GGA was carried out for a relaxed structure of KAs2Os.

a = 6.586 Å, b = 6.586 Å, c = 6.586 Å
α = 90.00°, β = 90.00°, γ = 90.00°
Space group Fm-3m (No. 225)
Unique sites:
K1 0.000 0.000 0.000 (multiplicity 4)
As1 0.250 0.250 0.250 (multiplicity 8)
Os1 0.000 0.000 0.500 (multiplicity 4)


Arrangement b

A plane-wave DFT calculation with PBE-GGA was carried out for a relaxed structure of KAs2Os.

a = 4.095 Å, b = 4.095 Å, c = 9.263 Å
α = 90.00°, β = 90.00°, γ = 90.00°
Space group I-4m2 (No. 119)
Unique sites:
K1 0.000 0.000 0.000 (multiplicity 2)
As1 0.000 0.000 0.500 (multiplicity 2)
As2 0.000 0.500 0.250 (multiplicity 2)
Os1 0.000 0.500 0.750 (multiplicity 2)


Arrangement c

A plane-wave DFT calculation with PBE-GGA was carried out for a relaxed structure of KAs2Os.

a = 3.107 Å, b = 3.205 Å, c = 16.975 Å
α = 90.00°, β = 90.00°, γ = 90.00°
Space group Imm2 (No. 44)
Unique sites:
K1 0.000 0.000 0.000 (multiplicity 2)
As1 0.000 0.000 0.357 (multiplicity 2)
As2 0.000 0.500 0.165 (multiplicity 2)
Os1 0.000 0.500 0.742 (multiplicity 2)


Arrangement d

A plane-wave DFT calculation with PBE-GGA was carried out for a relaxed structure of KAs2Os.

a = 6.749 Å, b = 6.749 Å, c = 6.749 Å
α = 90.00°, β = 90.00°, γ = 90.00°
Space group F-43m (No. 216)
Unique sites:
K1 0.000 0.000 0.000 (multiplicity 4)
As1 0.000 0.000 0.500 (multiplicity 4)
As2 0.250 0.250 0.750 (multiplicity 4)
Os1 0.250 0.250 0.250 (multiplicity 4)


The structure with the least stability is arrangement d.


Arrangement a

A plane-wave DFT calculation with PBE-GGA was carried out for a relaxed structure of KAs2OsSe.

a = 5.085 Å, b = 5.085 Å, c = 5.210 Å
α = 90.00°, β = 90.00°, γ = 90.00°
Space group P4/mmm (No. 123)
Unique sites:
K1 0.000 0.000 0.000 (multiplicity 1)
As1 0.000 0.500 0.000 (multiplicity 2)
Os1 0.500 0.500 0.500 (multiplicity 1)
Se1 0.000 0.000 0.500 (multiplicity 1)


Arrangement b

A plane-wave DFT calculation with PBE-GGA was carried out for a relaxed structure of KAs2OsSe.

a = 4.716 Å, b = 4.716 Å, c = 5.831 Å
α = 90.00°, β = 90.00°, γ = 90.00°
Space group P4/mmm (No. 123)
Unique sites:
K1 0.000 0.000 0.000 (multiplicity 1)
As1 0.000 0.500 0.500 (multiplicity 2)
Os1 0.500 0.500 0.500 (multiplicity 1)
Se1 0.500 0.500 0.000 (multiplicity 1)


The structure with the least stability is arrangement a.